[1]
# CeTh2FeN5

A relaxed CeTh2FeN5 crystal (PBE-GGA, Alexandria).

Formation energy (no corrections) in eV/atom: -1.1071
Size of the total moment in μB/f.u.: 2.86
Theoretical density in g/cm3: 9.5

Cell: 7.3790 7.3790 7.3790 Å, 125.69 125.69 80.40°
Sites, in units of the cell vectors:
Ce (0.2500, 0.2500, 0.0000)
Ce (0.7500, 0.7500, 0.0000)
Th (0.1747, 0.6747, 0.8494)
Th (0.3253, 0.1747, 0.5000)
Th (0.6747, 0.8253, 0.5000)
Th (0.8253, 0.3253, 0.1506)
Fe (0.2500, 0.7500, 0.5000)
Fe (0.7500, 0.2500, 0.5000)
N (0.0000, 0.0000, 0.0000)
N (0.0002, 0.2140, 0.5000)
N (0.9998, 0.7860, 0.5000)
N (0.2140, 0.7140, 0.2138)
N (0.2860, 0.4998, 0.5000)
N (0.4998, 0.9998, 0.2138)
N (0.5002, 0.0002, 0.7862)
N (0.5000, 0.5000, 0.0000)
N (0.7140, 0.5002, 0.5000)
N (0.7860, 0.2860, 0.7862)


[2]
# RhC2Cl

A relaxed RhC2Cl crystal (PBE-GGA, Alexandria).

Formation energy (no corrections) in eV/atom: 1.5444
Size of the total moment in μB/f.u.: 0.00
Theoretical density in g/cm3: 4.2
Excess energy over the best structure of this formula in the dataset in meV/atom: 0

Cell: 5.3032 5.3032 9.0823 Å, 90.00 90.00 90.00°
Sites, in units of the cell vectors:
Rh (0.0000, 0.0000, 0.0000)
Rh (0.0000, 0.5000, 0.2500)
Rh (0.5000, 0.0000, 0.7500)
Rh (0.5000, 0.5000, 0.5000)
C (0.1478, 0.2500, 0.1250)
C (0.2500, 0.6478, 0.3750)
C (0.2500, 0.8522, 0.8750)
C (0.3522, 0.2500, 0.6250)
C (0.6478, 0.7500, 0.6250)
C (0.7500, 0.1478, 0.8750)
C (0.7500, 0.3522, 0.3750)
C (0.8522, 0.7500, 0.1250)
Cl (0.0000, 0.0000, 0.5000)
Cl (0.0000, 0.5000, 0.7500)
Cl (0.5000, 0.0000, 0.2500)
Cl (0.5000, 0.5000, 0.0000)


[3]
# Tm2TcCl

A relaxed Tm2TcCl crystal (PBE-GGA, Alexandria).

Formation energy (no corrections) in eV/atom: -0.7229
Size of the total moment in μB/f.u.: 0.00
Theoretical density in g/cm3: 8.9
Excess energy over the best structure of this formula in the dataset in meV/atom: 0

Cell: 3.3792 3.3792 7.7429 Å, 90.00 90.00 90.00°
Sites, in units of the cell vectors:
Tm (0.0000, 0.0000, 0.2087)
Tm (0.0000, 0.0000, 0.7913)
Tc (0.5000, 0.5000, 0.0000)
Cl (0.5000, 0.5000, 0.5000)


[4]
# Ba3Bi2Pd

A relaxed Ba3Bi2Pd crystal (PBE-GGA, Alexandria).

Size of the total moment in μB/f.u.: 0.00
Energy relative to the elements in kJ per mole of atoms: -83.5
Theoretical density in g/cm3: 6.6

Cell: 13.8594 5.0353 13.4785 Å, 90.00 90.00 90.00°
Sites, in units of the cell vectors:
Ba (0.0561, 0.2500, 0.1250)
Ba (0.1145, 0.7500, 0.5496)
Ba (0.2247, 0.2500, 0.8027)
Ba (0.2753, 0.7500, 0.3027)
Ba (0.3855, 0.2500, 0.0496)
Ba (0.4439, 0.7500, 0.6250)
Ba (0.5561, 0.2500, 0.3750)
Ba (0.6145, 0.7500, 0.9504)
Ba (0.7247, 0.2500, 0.6973)
Ba (0.7753, 0.7500, 0.1973)
Ba (0.8855, 0.2500, 0.4504)
Ba (0.9439, 0.7500, 0.8750)
Bi (0.0191, 0.7500, 0.3079)
Bi (0.2007, 0.7500, 0.9916)
Bi (0.2993, 0.2500, 0.4916)
Bi (0.4809, 0.2500, 0.8079)
Bi (0.5191, 0.7500, 0.1921)
Bi (0.7007, 0.7500, 0.5084)
Bi (0.7993, 0.2500, 0.0084)
Bi (0.9809, 0.2500, 0.6921)
Pd (0.1229, 0.2500, 0.3660)
Pd (0.3771, 0.7500, 0.8660)
Pd (0.6229, 0.2500, 0.1340)
Pd (0.8771, 0.7500, 0.6340)